Ca2TaMn | GGA-PBE | optimized geometry

The structure in CIF format:
```
data_Ca2TaMn
_chemical_formula_sum 'Ca2 Ta1 Mn1'
_symmetry_space_group_name_H-M 'P 1'
_symmetry_Int_Tables_number 1
_symmetry_space_group_name_Hall 'P 1'
_cell_length_a 9.040
_cell_length_b 9.040
_cell_length_c 9.040
_cell_angle_alpha 159.70
_cell_angle_beta 155.20
_cell_angle_gamma 32.25
loop_
_atom_site_label
_atom_site_type_symbol
_atom_site_fract_x
_atom_site_fract_y
_atom_site_fract_z
Ca1 Ca 0.156 0.156 0.000
Ca2 Ca 0.844 0.844 0.000
Ta1 Ta 0.500 0.000 0.500
Mn1 Mn 0.000 0.500 0.500
```

Properties
Formation energy, eV/atom: 0.497
Relative energy among the computed polymorphs, eV/f.u.: 0.75
Mass density, Mg/m³: 4.9
E_tot, eV/atom: -5.760

MgTcRu2 | GGA-PBE | optimized geometry

The structure in CIF format:
```
data_MgTcRu2
_chemical_formula_sum 'Mg1 Tc1 Ru2'
_symmetry_space_group_name_H-M 'P 1'
_symmetry_Int_Tables_number 1
_symmetry_space_group_name_Hall 'P 1'
_cell_length_a 5.122
_cell_length_b 5.122
_cell_length_c 4.681
_cell_angle_alpha 112.14
_cell_angle_beta 112.14
_cell_angle_gamma 31.74
loop_
_atom_site_label
_atom_site_type_symbol
_atom_site_fract_x
_atom_site_fract_y
_atom_site_fract_z
Mg1 Mg 0.000 0.000 0.000
Tc1 Tc 0.221 0.221 0.615
Ru1 Ru 0.481 0.481 0.500
Ru2 Ru 0.758 0.758 0.122
```

Properties
Formation energy, eV/atom: 0.102
Mass density, Mg/m³: 9.1
E_tot, eV/atom: -7.526

Cs2Tl4AgHg3 | GGA-PBE | optimized geometry

The structure in CIF format:
```
data_Cs2Tl4AgHg3
_chemical_formula_sum 'Cs2 Tl4 Ag1 Hg3'
_symmetry_space_group_name_H-M 'P 1'
_symmetry_Int_Tables_number 1
_symmetry_space_group_name_Hall 'P 1'
_cell_length_a 5.391
_cell_length_b 5.391
_cell_length_c 12.534
_cell_angle_alpha 90.00
_cell_angle_beta 90.00
_cell_angle_gamma 90.00
loop_
_atom_site_label
_atom_site_type_symbol
_atom_site_fract_x
_atom_site_fract_y
_atom_site_fract_z
Cs1 Cs 0.000 0.500 0.241
Cs2 Cs 0.500 0.000 0.759
Tl1 Tl 0.000 0.000 0.500
Tl2 Tl 0.000 0.500 0.893
Tl3 Tl 0.500 0.000 0.107
Tl4 Tl 0.500 0.500 0.500
Ag1 Ag 0.500 0.500 0.000
Hg1 Hg 0.000 0.000 0.000
Hg2 Hg 0.000 0.500 0.632
Hg3 Hg 0.500 0.000 0.368
```

Properties
Formation energy, eV/atom: -0.089
Mass density, Mg/m³: 8.2
E_tot, eV/atom: -1.582

PmPdRhPb | GGA-PBE | optimized geometry

The structure in CIF format:
```
data_PmPdRhPb
_chemical_formula_sum 'Pm1 Pd1 Rh1 Pb1'
_symmetry_space_group_name_H-M 'P 1'
_symmetry_Int_Tables_number 1
_symmetry_space_group_name_Hall 'P 1'
_cell_length_a 4.886
_cell_length_b 4.886
_cell_length_c 4.886
_cell_angle_alpha 60.00
_cell_angle_beta 60.00
_cell_angle_gamma 60.00
loop_
_atom_site_label
_atom_site_type_symbol
_atom_site_fract_x
_atom_site_fract_y
_atom_site_fract_z
Pm1 Pm 0.000 0.000 0.000
Pd1 Pd 0.750 0.750 0.750
Rh1 Rh 0.250 0.250 0.250
Pb1 Pb 0.500 0.500 0.500
```

Properties
Formation energy, eV/atom: -0.537
Mass density, Mg/m³: 11.3
E_tot, eV/atom: -5.788

TaHgCl3 | GGA-PBE | optimized geometry

The structure in CIF format:
```
data_TaHgCl3
_chemical_formula_sum 'Ta1 Hg1 Cl3'
_symmetry_space_group_name_H-M 'P 1'
_symmetry_Int_Tables_number 1
_symmetry_space_group_name_Hall 'P 1'
_cell_length_a 5.260
_cell_length_b 5.260
_cell_length_c 5.260
_cell_angle_alpha 90.00
_cell_angle_beta 90.00
_cell_angle_gamma 90.00
loop_
_atom_site_label
_atom_site_type_symbol
_atom_site_fract_x
_atom_site_fract_y
_atom_site_fract_z
Ta1 Ta 0.000 0.000 0.000
Hg1 Hg 0.500 0.500 0.500
Cl1 Cl 0.000 0.500 0.500
Cl2 Cl 0.500 0.000 0.500
Cl3 Cl 0.500 0.500 0.000
```

Properties
E_form (uncorrected), eV per atom: 0.80
Relative energy among the computed polymorphs, eV/f.u.: 6.77
Mass density, Mg/m³: 5.6
E_tot, eV/atom: -2.734

PrDy3Ho2S6 | GGA-PBE | optimized geometry

The structure in CIF format:
```
data_PrDy3Ho2S6
_chemical_formula_sum 'Pr1 Dy3 Ho2 S6'
_symmetry_space_group_name_H-M 'P 1'
_symmetry_Int_Tables_number 1
_symmetry_space_group_name_Hall 'P 1'
_cell_length_a 6.819
_cell_length_b 6.819
_cell_length_c 6.806
_cell_angle_alpha 99.59
_cell_angle_beta 99.59
_cell_angle_gamma 120.17
loop_
_atom_site_label
_atom_site_type_symbol
_atom_site_fract_x
_atom_site_fract_y
_atom_site_fract_z
Pr1 Pr 0.000 0.000 0.000
Dy1 Dy 0.161 0.839 0.500
Dy2 Dy 0.500 0.500 0.500
Dy3 Dy 0.839 0.161 0.500
Ho1 Ho 0.334 0.666 0.000
Ho2 Ho 0.666 0.334 0.000
S1 S 0.085 0.431 0.256
S2 S 0.261 0.261 0.748
S3 S 0.431 0.085 0.256
S4 S 0.569 0.915 0.744
S5 S 0.739 0.739 0.252
S6 S 0.915 0.569 0.744
```

Properties
E_form (uncorrected), eV per atom: -1.99
Mass density, Mg/m³: 7.4
E_tot, eV/atom: -6.366

What did the fifth record say?
TaHgCl3 | GGA-PBE | optimized geometry

The structure in CIF format:
```
data_TaHgCl3
_chemical_formula_sum 'Ta1 Hg1 Cl3'
_symmetry_space_group_name_H-M 'P 1'
_symmetry_Int_Tables_number 1
_symmetry_space_group_name_Hall 'P 1'
_cell_length_a 5.260
_cell_length_b 5.260
_cell_length_c 5.260
_cell_angle_alpha 90.00
_cell_angle_beta 90.00
_cell_angle_gamma 90.00
loop_
_atom_site_label
_atom_site_type_symbol
_atom_site_fract_x
_atom_site_fract_y
_atom_site_fract_z
Ta1 Ta 0.000 0.000 0.000
Hg1 Hg 0.500 0.500 0.500
Cl1 Cl 0.000 0.500 0.500
Cl2 Cl 0.500 0.000 0.500
Cl3 Cl 0.500 0.500 0.000
```

Properties
E_form (uncorrected), eV per atom: 0.80
Relative energy among the computed polymorphs, eV/f.u.: 6.77
Mass density, Mg/m³: 5.6
E_tot, eV/atom: -2.734

- Which of these has the highest mass density?
  PmPdRhPb